First-principles (PBE) data for TbSm4Tm4 after structural relaxation, as listed in the Alexandria database.

Calculated values
The formation energy from the elements is 10.4 kJ per mole of atoms. The energy above the most stable polymorph in this dataset comes out at 8.2 kJ/mol of atoms. The value obtained for the final energy is -80.85 eV/cell. The calculated volume is 32.20 Å³ per atom. The value obtained for the size of the total moment is 0.0 μB/cell.

CIF file:
```
data_TbSm4Tm4
_chemical_formula_sum 'Tb2 Sm8 Tm8'
_cell_length_a 16.829
_cell_length_b 5.561
_cell_length_c 6.752
_cell_angle_alpha 90.00
_cell_angle_beta 113.46
_cell_angle_gamma 90.00
_space_group_name_H-M_alt 'C 1 2/m 1'
_space_group_IT_number 12
_space_group_name_Hall '-C 2y'
loop_
_atom_site_label
_atom_site_type_symbol
_atom_site_fract_x
_atom_site_fract_y
_atom_site_fract_z
Tb1 Tb 0.000 0.000 0.000
Sm1 Sm 0.134 0.500 0.961
Sm2 Sm 0.220 0.000 0.287
Tm1 Tm 0.071 0.500 0.377
Tm2 Tm 0.124 0.000 0.674
```